[1]
A geometry-optimized Ta2GaAgAs structure. Source: Alexandria via LeMat-Bulk, functional GGA-PBE.

- Crystal system: tetragonal
- Calculated total energy: -5.06 eV/atom
- M_tot: 0.0 μB/cell
- Calculated formation energy: 1.788 eV/atom

Geometry as CIF:
```
data_Ta2GaAgAs
_chemical_formula_sum 'Ta2 Ga1 Ag1 As1'
_cell_length_a 5.047
_cell_length_b 5.047
_cell_length_c 4.692
_cell_angle_alpha 90.00
_cell_angle_beta 90.00
_cell_angle_gamma 90.00
_symmetry_space_group_name_H-M 'P 4/m m m'
_symmetry_Int_Tables_number 123
_symmetry_space_group_name_Hall '-P 4 2'
loop_
_atom_site_label
_atom_site_fract_x
_atom_site_fract_y
_atom_site_fract_z
_atom_site_occupancy
Ta1 0.000 0.500 0.000 1
Ga1 0.000 0.000 0.500 1
Ag1 0.500 0.500 0.000 1
As1 0.500 0.500 0.500 1
```


[2]
A geometry-optimized ZnAg2Rh structure. Source: Alexandria via LeMat-Bulk, functional GGA-PBE.

- Crystal system: tetragonal
- Calculated total energy: -3.45 eV/atom
- M_tot: 0.0 μB/cell
- Calculated formation energy: 0.135 eV/atom

Geometry as CIF:
```
data_ZnAg2Rh
_chemical_formula_sum 'Zn1 Ag2 Rh1'
_cell_length_a 2.841
_cell_length_b 2.841
_cell_length_c 7.866
_cell_angle_alpha 90.00
_cell_angle_beta 90.00
_cell_angle_gamma 90.00
_symmetry_space_group_name_H-M 'P 4/m m m'
_symmetry_Int_Tables_number 123
_symmetry_space_group_name_Hall '-P 4 2'
loop_
_atom_site_label
_atom_site_fract_x
_atom_site_fract_y
_atom_site_fract_z
_atom_site_occupancy
Zn1 0.000 0.000 0.000 1
Ag1 0.500 0.500 0.244 1
Rh1 0.000 0.000 0.500 1
```


calculated formation energy of number 1 (Ta2GaAgAs)? 1.788 eV/atom


Among the records above, which one has the highest calculated total energy? ZnAg2Rh


Number 1 is which compound? Ta2GaAgAs